Material: Ba2Ca2Tl2Ni3O10
Method: DFT, PBE+U
State: optimized geometry

Cell and atoms, written as CIF:
```
data_Ba2Ca2Tl2Ni3O10
_chemical_formula_sum 'Ba2 Ca2 Tl2 Ni3 O10'
_space_group_name_H-M_alt 'P 1'
_space_group_IT_number 1
_cell_length_a 3.859
_cell_length_b 4.008
_cell_length_c 18.447
_cell_angle_alpha 83.78
_cell_angle_beta 84.02
_cell_angle_gamma 90.00
loop_
_space_group_symop_operation_xyz
'x,y,z'
loop_
_atom_site_label
_atom_site_type_symbol
_atom_site_fract_x
_atom_site_fract_y
_atom_site_fract_z
_atom_site_occupancy
Ba1 Ba 0.000 0.000 0.000 1
Ba2 Ba 0.287 0.286 0.431 1
Ca1 Ca 0.099 0.097 0.805 1
Ca2 Ca 0.190 0.189 0.626 1
Tl1 Tl 0.425 0.376 0.152 1
Tl2 Tl 0.862 0.813 0.279 1
Ni1 Ni 0.554 0.555 0.892 1
Ni2 Ni 0.645 0.643 0.715 1
Ni3 Ni 0.734 0.732 0.539 1
O1 O 0.057 0.558 0.885 1
O2 O 0.145 0.643 0.715 1
O3 O 0.231 0.729 0.546 1
O4 O 0.368 0.476 0.266 1
O5 O 0.481 0.492 0.037 1
O6 O 0.555 0.055 0.890 1
O7 O 0.645 0.143 0.716 1
O8 O 0.733 0.231 0.541 1
O9 O 0.805 0.814 0.394 1
O10 O 0.918 0.027 0.164 1
```

Values from the calculation:
VASP energy = -5.270 eV per atom